A relaxed structure of Mn2ZnSnO6. Source: Alexandria, functional GGA+U.

a = 5.2495 Å, b = 5.2506 Å, c = 5.6447 Å
α = 62.27°, β = 62.28°, γ = 60.00°
With the nearest neighbours (Å) after each atom.
Element x y z (fractional)
Sn: 0.3166 0.3166 0.0501  6 O 2.06-2.15
O: 0.9223 0.6291 0.2320  2 Mn 1.99-2.09, 1 Sn 2.06
O: 0.6293 0.2162 0.2321  2 Mn 1.99-2.09, 1 Sn 2.06
O: 0.2163 0.9223 0.2322  2 Mn 1.99-2.09, 1 Sn 2.06
O: 0.1206 0.3854 0.7546  1 Mn 1.98, 1 Zn 2.06, 1 Sn 2.15
O: 0.7395 0.1206 0.7546  1 Mn 1.98, 1 Zn 2.06, 1 Sn 2.15
O: 0.3854 0.7395 0.7548  1 Mn 1.98, 1 Zn 2.06, 1 Sn 2.15
Mn: 0.5225 0.5224 0.4325  6 O 2.09-2.24
Mn: 0.0108 0.0107 0.9677  6 O 1.98-1.99
Zn: 0.7985 0.7986 0.6046  3 O 2.06

Calculated values
As for the magnetic moment: 0.800 μB per atom. The final energy is -65.1 eV/cell.